Entry 1:
Density functional theory data (GGA-PBE) for an optimized crystal structure of Y2ErPaCo2. Values from VASP.

Results
The space group is Ibam (72). The energy of formation is -0.2050 eV per atom. Its calculated density is 8.01 Mg/m³. The calculated volume comes out at 144 Å³/f.u. As for the raw total energy: -84.9 eV/cell. Its density of states at the Fermi level is 1.066 states/eV/atom.

The structure in Quantum ESPRESSO input format:
```
&SYSTEM
  ibrav = 0, nat = 12, ntyp = 4
/
ATOMIC_SPECIES
Y 88.91 Y.upf
Er 167.26 Er.upf
Pa 231.04 Pa.upf
Co 58.93 Co.upf
CELL_PARAMETERS angstrom
-3.3954 6.3120 3.3570
3.3954 -6.3120 3.3570
3.3954 6.3120 -3.3570
ATOMIC_POSITIONS angstrom
Y 1.4143 2.5287 0.0000
Y 1.4143 -2.5287 3.3570
Y 1.9811 8.8408 0.0000
Y 1.9811 3.7833 3.3570
Er 3.3954 0.0000 1.6785
Er 0.0000 6.3120 1.6785
Pa 0.0000 0.0000 1.6785
Pa 0.0000 0.0000 5.0355
Co 5.3790 1.1149 0.0000
Co 1.9836 5.1971 0.0000
Co 1.4118 1.1149 3.3570
Co -1.9836 5.1971 3.3570
```

Entry 2:
Density functional theory data (GGA-PBE) for an optimized crystal structure of SbPO2F. Values from VASP.

Results
The space group is P4/mmm (123). Its calculated density is 4.93 Mg/m³. The uncorrected formation energy comes out at 2.01 eV per formula unit. The calculated volume comes out at 69 Å³/f.u. As for the raw total energy: -19.3 eV/cell. Its density of states at the Fermi level is 0.503 states/eV/atom.

The structure in Quantum ESPRESSO input format:
```
&SYSTEM
  ibrav = 0, nat = 5, ntyp = 4
/
ATOMIC_SPECIES
Sb 121.76 Sb.upf
P 30.97 P.upf
O 16.00 O.upf
F 19.00 F.upf
CELL_PARAMETERS angstrom
4.4411 0.0000 0.0000
0.0000 4.4411 0.0000
0.0000 0.0000 3.4805
ATOMIC_POSITIONS angstrom
Sb 0.0000 0.0000 0.0000
P 2.2206 2.2206 0.0000
O 0.0000 2.2206 1.7402
O 2.2206 0.0000 1.7402
F 2.2206 2.2206 1.7402
```

Entry 3:
Density functional theory data (GGA-PBE) for an optimized crystal structure of SrSeI2. Values from VASP.

Results
The space group is I-42d (122). Its calculated density is 4.48 Mg/m³. The uncorrected formation energy comes out at -2.73 eV per formula unit. The calculated volume comes out at 156 Å³/f.u. Its polymorph energy (0 for the lowest one) is 0 kJ/mol of formula units. As for the raw total energy: -22.0 eV/cell. Its density of states at the Fermi level is 0.072 states/eV/atom.

The structure in Quantum ESPRESSO input format:
```
&SYSTEM
  ibrav = 0, nat = 8, ntyp = 3
/
ATOMIC_SPECIES
Sr 87.62 Sr.upf
Se 78.96 Se.upf
I 126.90 I.upf
CELL_PARAMETERS angstrom
-2.7069 2.7069 10.6244
2.7069 -2.7069 10.6244
2.7069 2.7069 -10.6244
ATOMIC_POSITIONS angstrom
Sr 0.0000 0.0000 0.0000
Sr 0.0000 2.7069 5.3122
Se 2.7069 0.0000 5.3122
Se 0.0000 0.0000 10.6244
I 1.3535 -1.2861 7.9683
I 1.4209 1.3535 2.6561
I 1.3535 3.9930 -2.6561
I 1.2861 1.3535 13.2805
```

Entry 4:
Density functional theory data (GGA-PBE) for an optimized crystal structure of YTmMgZn. Values from VASP.

Results
The space group is P4mm (99). The energy of formation is -0.2174 eV per atom. Its calculated density is 5.82 Mg/m³. The calculated volume comes out at 99 Å³/f.u. Its polymorph energy (0 for the lowest one) is 0 kJ/mol of formula units. As for the raw total energy: -14.7 eV/cell. Its density of states at the Fermi level is 1.047 states/eV/atom.

The structure in Quantum ESPRESSO input format:
```
&SYSTEM
  ibrav = 0, nat = 4, ntyp = 4
/
ATOMIC_SPECIES
Y 88.91 Y.upf
Tm 168.93 Tm.upf
Mg 24.30 Mg.upf
Zn 65.41 Zn.upf
CELL_PARAMETERS angstrom
3.5556 0.0000 0.0000
0.0000 3.5556 0.0000
0.0000 0.0000 7.8379
ATOMIC_POSITIONS angstrom
Y 0.0000 0.0000 0.0000
Tm 0.0000 0.0000 4.3553
Mg 1.7778 1.7778 2.2123
Zn 1.7778 1.7778 6.0325
```

Entry 5:
Density functional theory data (GGA-PBE) for an optimized crystal structure of Tb6Sn2BiSe3. Values from VASP.

Results
The space group is C2/m (12). Its calculated density is 8.15 Mg/m³. The uncorrected formation energy comes out at -15.19 eV per formula unit. The calculated volume comes out at 334 Å³/f.u. As for the raw total energy: -65.3 eV/cell. Its density of states at the Fermi level is 0.228 states/eV/atom.

The structure in Quantum ESPRESSO input format:
```
&SYSTEM
  ibrav = 0, nat = 12, ntyp = 4
/
ATOMIC_SPECIES
Tb 158.93 Tb.upf
Sn 118.71 Sn.upf
Bi 208.98 Bi.upf
Se 78.96 Se.upf
CELL_PARAMETERS angstrom
9.3179 -2.1439 0.0000
9.3179 2.1439 0.0000
-1.9069 0.0000 8.3494
ATOMIC_POSITIONS angstrom
Tb 18.1775 0.0000 1.9935
Tb -1.4487 0.0000 6.3559
Tb 5.3391 0.0000 3.4756
Tb 4.4927 0.0000 7.6215
Tb 12.2361 0.0000 0.7279
Tb 11.3897 0.0000 4.8738
Sn 1.5201 0.0000 6.9627
Sn 15.2087 0.0000 1.3867
Bi 8.3644 0.0000 4.1747
Se 2.4424 0.0000 2.7874
Se 9.3179 0.0000 0.0000
Se 14.2864 0.0000 5.5620
```

Entry 6:
Density functional theory data (GGA-PBE) for an optimized crystal structure of Sr4Si2Sn5. Values from VASP.

Results
The space group is P2/m (10). Its calculated density is 5.00 Mg/m³. The uncorrected formation energy comes out at -5.13 eV per formula unit. The calculated volume comes out at 332 Å³/f.u. As for the raw total energy: -42.7 eV/cell. Its density of states at the Fermi level is 0.484 states/eV/atom.

The structure in Quantum ESPRESSO input format:
```
&SYSTEM
  ibrav = 0, nat = 11, ntyp = 3
/
ATOMIC_SPECIES
Sr 87.62 Sr.upf
Si 28.09 Si.upf
Sn 118.71 Sn.upf
CELL_PARAMETERS angstrom
7.7296 0.0000 0.0000
0.0000 4.8355 0.0000
-0.1711 0.0000 8.8926
ATOMIC_POSITIONS angstrom
Sr 1.6021 0.0000 3.2207
Sr 1.7484 0.0000 7.9291
Sr 5.8101 0.0000 0.9635
Sr 5.9564 0.0000 5.6718
Si 0.5660 2.4177 1.0450
Si 6.9924 2.4177 7.8475
Sn 0.8598 2.4177 5.6196
Sn 3.2425 2.4177 1.3564
Sn 3.7792 2.4177 4.4463
Sn 4.3160 2.4177 7.5361
Sn 6.6987 2.4177 3.2730
```